# 1
VASP calculation (PBE+U) on PuCuNi2O6 after structural relaxation.

extended XYZ file:
```
10
Lattice="5.8903 0.0000 0.0000 0.0000 5.8903 0.0000 0.0000 0.0000 4.0384" Properties=species:S:1:pos:R:3 pbc="T T T"
Pu 0.0000 0.0000 0.0000
Cu 2.9451 2.9451 4.0273
Ni 0.0000 2.9451 0.0257
Ni 2.9451 0.0000 0.0257
O 0.0000 0.0000 2.0202
O 1.4729 1.4729 0.0092
O 1.4729 4.4174 0.0092
O 2.9451 2.9451 2.0167
O 4.4174 1.4729 0.0092
O 4.4174 4.4174 0.0092
```

Computed properties:
* space group: No. 99

=====

# 2
VASP calculation (PBE+U) on PuCuNiO6 after structural relaxation.

extended XYZ file:
```
18
Lattice="4.8465 0.0000 0.0000 0.0000 4.8465 0.0000 0.0000 0.0000 8.9678" Properties=species:S:1:pos:R:3 pbc="T T T"
Pu 0.0000 0.0000 0.0000
Pu 2.4232 2.4232 4.4839
Cu 0.0000 0.0000 3.0149
Cu 2.4232 2.4232 7.4989
Ni 0.0000 0.0000 5.9615
Ni 2.4232 2.4232 1.4776
O 0.9135 0.9135 1.5333
O 0.9128 0.9128 4.4375
O 0.9098 0.9098 7.5107
O 1.5134 3.3331 3.0267
O 1.5098 3.3367 6.0172
O 1.5104 3.3360 8.9215
O 3.3331 1.5134 3.0267
O 3.3367 1.5098 6.0172
O 3.3360 1.5104 8.9215
O 3.9330 3.9330 1.5333
O 3.9336 3.9336 4.4375
O 3.9366 3.9366 7.5107
```

Computed properties:
* space group: No. 102

=====

# 3
VASP calculation (PBE+U) on PuCu2NiO8 after structural relaxation.

extended XYZ file:
```
12
Lattice="-3.2018 3.2018 3.4552 3.2018 -3.2018 3.4552 3.2018 3.2018 -3.4552" Properties=species:S:1:pos:R:3 pbc="T T T"
Pu 0.0000 0.0000 0.0000
Cu 3.2018 0.0000 1.7276
Cu 0.0000 0.0000 3.4552
Ni 0.0000 3.2018 1.7276
O 1.9209 0.0000 0.3312
O 4.4828 0.0000 0.3312
O 3.2018 2.0144 -1.4242
O 3.2018 -1.2809 3.1240
O 0.0000 1.1874 2.0310
O 3.2018 1.2809 3.1240
O 2.0144 3.2018 1.4242
O 1.1874 0.0000 4.8794
```

Computed properties:
* space group: No. 119

=====

# 4
VASP calculation (PBE+U) on CuNi2RuO6 after structural relaxation.

extended XYZ file:
```
10
Lattice="5.3600 0.0000 0.0000 0.0000 5.3600 0.0000 0.0000 0.0000 4.6663" Properties=species:S:1:pos:R:3 pbc="T T T"
Cu 0.0000 0.0000 0.0000
Ni 0.0000 2.6800 1.4674
Ni 2.6800 0.0000 1.4674
Ru 2.6800 2.6800 0.1260
O 0.0000 0.0000 2.8653
O 1.3923 1.3923 0.8044
O 1.3923 3.9677 0.8044
O 2.6800 2.6800 3.0866
O 3.9677 1.3923 0.8044
O 3.9677 3.9677 0.8044
```

Computed properties:
* space group: No. 99

=====

# 5
VASP calculation (PBE+U) on Sr2Cu2NiS2O2 after structural relaxation.

extended XYZ file:
```
9
Lattice="-1.9373 1.9373 9.3393 1.9373 -1.9373 9.3393 1.9373 1.9373 -9.3393" Properties=species:S:1:pos:R:3 pbc="T T T"
Sr 0.0000 0.0000 1.7136
Sr 0.0000 0.0000 16.9649
Cu 1.9373 0.0000 4.6696
Cu 0.0000 1.9373 4.6696
Ni 0.0000 0.0000 9.3393
S 0.0000 0.0000 6.0959
S 0.0000 0.0000 12.5827
O 1.9373 0.0000 0.0000
O 0.0000 1.9373 0.0000
```

Computed properties:
* space group: No. 139

=====

# 6
VASP calculation (PBE+U) on CuNi2SbO6 after structural relaxation.

extended XYZ file:
```
10
Lattice="4.9937 0.0000 0.0000 2.3188 4.6850 0.0000 0.0832 2.5667 4.6656" Properties=species:S:1:pos:R:3 pbc="T T T"
Cu 0.0000 0.0000 0.0000
Ni 2.3891 4.3316 2.7777
Ni 4.9285 2.9312 0.5419
Sb 4.8484 5.9821 2.3581
O 0.7886 1.1883 1.3107
O 1.6609 2.6301 3.6471
O 3.2125 2.9093 1.5186
O 4.2034 4.5574 3.5927
O 5.8769 4.5415 1.3379
O 6.4378 5.8798 3.7401
```

Computed properties:
* space group: No. 1

=====

# 7
VASP calculation (PBE+U) on Sc2CuNiO after structural relaxation.

extended XYZ file:
```
5
Lattice="4.6634 0.0000 0.0000 0.0000 4.6634 0.0000 0.0000 0.0000 4.2023" Properties=species:S:1:pos:R:3 pbc="T T T"
Sc 0.0000 2.3317 0.0000
Sc 2.3317 0.0000 0.0000
Cu 0.0000 0.0000 2.1012
Ni 0.0000 0.0000 0.0000
O 2.3317 2.3317 2.1012
```

Computed properties:
* space group: No. 123

=====

# 8
VASP calculation (PBE+U) on Cu2NiSeO6 after structural relaxation.

extended XYZ file:
```
20
Lattice="5.1260 -4.4650 0.0000 5.1260 4.4650 0.0000 -0.6751 0.0000 5.1894" Properties=species:S:1:pos:R:3 pbc="T T T"
Cu 2.1993 0.7381 2.1068
Cu 1.8617 -0.7381 4.7015
Cu 7.7153 0.7381 0.4879
Cu 7.3777 -0.7381 3.0826
Ni 4.9573 3.6766 1.2973
Ni 4.6197 -3.6766 3.8920
Se 4.6197 2.1447 3.8920
Se 4.9573 -2.1447 1.2973
O 3.4847 3.4734 4.5613
O 3.5974 2.5740 2.2601
O 5.7547 3.4734 3.2228
O 3.0039 0.3330 3.7288
O 6.3172 2.5740 0.3346
O 3.3415 -0.3330 1.1341
O 6.2355 0.3330 4.0553
O 3.2598 -2.5740 4.8548
O 6.5730 -0.3330 1.4606
O 3.8223 -3.4734 1.9666
O 5.9796 -2.5740 2.9293
O 6.0922 -3.4734 0.6281
```

Computed properties:
* space group: No. 15

=====

# 9
VASP calculation (PBE+U) on CuNiSe2O8 after structural relaxation.

extended XYZ file:
```
12
Lattice="-3.4195 3.4195 3.0483 3.4195 -3.4195 3.0483 3.4195 3.4195 -3.0483" Properties=species:S:1:pos:R:3 pbc="T T T"
Cu 0.0000 0.0000 0.0000
Ni 0.0000 3.4195 1.5241
Se 3.4195 0.0000 1.5241
Se 0.0000 0.0000 3.0483
O 2.1440 0.0000 0.4081
O 4.6950 0.0000 0.4081
O 3.4195 2.1342 -1.0812
O 3.4195 -1.2755 2.6402
O 0.0000 1.2853 1.9671
O 3.4195 1.2755 2.6402
O 2.1342 3.4195 1.0812
O 1.2853 0.0000 4.1295
```

Computed properties:
* space group: No. 119

=====

# 10
VASP calculation (PBE+U) on SmCu3Ni4O12 after structural relaxation.

extended XYZ file:
```
20
Lattice="-3.6546 3.6546 3.6546 3.6546 -3.6546 3.6546 3.6546 3.6546 -3.6546" Properties=species:S:1:pos:R:3 pbc="T T T"
Sm 0.0000 0.0000 0.0000
Cu 3.6546 0.0000 0.0000
Cu 0.0000 3.6546 0.0000
Cu 0.0000 0.0000 3.6546
Ni 1.8273 1.8273 -1.8273
Ni 1.8273 -1.8273 1.8273
Ni -1.8273 1.8273 1.8273
Ni 1.8273 1.8273 1.8273
O 3.6546 2.4149 -1.3999
O 2.2546 0.0000 1.2397
O 5.0545 0.0000 1.2397
O 1.2397 2.2546 0.0000
O 2.4149 -1.3999 3.6546
O 0.0000 1.2397 2.2546
O 3.6546 2.4149 1.3999
O 1.2397 5.0545 0.0000
O 2.4149 1.3999 3.6546
O -1.3999 3.6546 2.4149
O 1.3999 3.6546 2.4149
O 0.0000 1.2397 5.0545
```

Computed properties:
* space group: No. 204

=====

# 11
VASP calculation (PBE+U) on CuNiSnO4 after structural relaxation.

extended XYZ file:
```
14
Lattice="-3.0156 3.1308 4.3432 3.0156 -3.1308 4.3432 3.0156 3.1308 -4.3432" Properties=species:S:1:pos:R:3 pbc="T T T"
Cu 0.0000 1.5654 1.2202
Cu 3.0156 1.5654 3.1230
Ni 1.5078 1.5654 -2.1716
Ni 1.5078 -1.5654 2.1716
Sn 3.0156 0.0000 0.0000
Sn 0.0000 0.0000 4.3432
O 3.0156 -0.1310 2.0725
O 3.0156 2.9998 -2.0725
O 1.5970 1.5654 -0.0628
O 4.4343 1.5654 -0.0628
O -1.4187 1.5654 4.4060
O 1.4187 1.5654 4.4060
O 0.0000 0.1310 6.4157
O 0.0000 3.2618 2.2708
```

Computed properties:
* space group: No. 74

=====

# 12
VASP calculation (PBE+U) on Cu2NiSnO4 after structural relaxation.

extended XYZ file:
```
8
Lattice="5.4114 0.0000 0.0000 0.0000 3.2013 0.0000 -1.8757 0.0000 5.8108" Properties=species:S:1:pos:R:3 pbc="T T T"
Cu 0.0000 0.0000 0.0000
Cu 2.7057 1.6006 0.0000
Ni -0.9378 1.6006 2.9054
Sn 1.7679 0.0000 2.9054
O -0.0149 0.0000 1.8643
O 0.8653 1.6006 3.9646
O 2.6704 1.6006 1.8462
O 3.5506 0.0000 3.9465
```

Computed properties:
* space group: No. 10

=====

Number 1: size of the total moment 2.01 μB per cell, electronic total energy -6.363 eV/atom. Number 2: size of the total moment 5.70 μB per cell, electronic total energy -7.065 eV/atom. Number 3: size of the total moment 1.16 μB per cell, electronic total energy -6.242 eV/atom. Number 4: size of the total moment 5.01 μB per cell, electronic total energy -5.287 eV/atom. Number 5: size of the total moment 0.06 μB per cell, electronic total energy -4.904 eV/atom. Number 6: size of the total moment 4.03 μB per cell, electronic total energy -5.293 eV/atom. Number 7: size of the total moment 0.00 μB per cell, electronic total energy -4.547 eV/atom. Number 8: size of the total moment 4.03 μB per cell, electronic total energy -4.915 eV/atom. Number 9: size of the total moment 3.00 μB per cell, electronic total energy -4.836 eV/atom. Number 10: size of the total moment 3.96 μB per cell, electronic total energy -5.326 eV/atom. Number 11: size of the total moment 1.99 μB per cell, electronic total energy -5.463 eV/atom. Number 12: size of the total moment 1.98 μB per cell, electronic total energy -5.374 eV/atom.